# 1
LiHgPt2 | PBE-GGA | relaxed

abc: 9.4000 2.8971 4.8956
angles: 90.00 98.83 90.00
Space group Cm (No. 8)
Symmetry-distinct sites (fractional):
Li 0.0000 0.0000 0.0000 x2
Hg 0.2615 0.5000 0.2594 x2
Pt 0.0101 0.5000 0.5313 x2
Pt 0.2501 0.0000 0.7628 x2

Results
The calculation puts the formation energy at -0.25 eV/atom. As for the electronic total energy: -3.82 eV per atom.

***

# 2
Pm4Pr2Sm2Ho | PBE-GGA | relaxed

abc: 19.0633 3.6788 9.7813
angles: 90.00 115.59 90.00
Space group C2/m (No. 12)
Symmetry-distinct sites (fractional):
Pm 0.0184 0.0000 0.3313 x4
Pm 0.1853 0.5000 0.3334 x4
Pr 0.1651 0.0000 0.9992 x4
Sm 0.1474 0.5000 0.6659 x4
Ho 0.0000 0.5000 0.0000 x2

Results
The calculation puts the formation energy at 0.01 eV/atom. As for the electronic total energy: -4.72 eV per atom.

***

# 3
Y2GaCu2 | PBE-GGA | relaxed

abc: 9.5335 5.5140 7.8044
angles: 90.00 103.58 90.00
Space group C2/c (No. 15)
Symmetry-distinct sites (fractional):
Y 0.1495 0.1420 0.1502 x8
Ga 0.0000 0.3453 0.7500 x4
Cu 0.1360 0.3641 0.4987 x8

Results
The calculation puts the formation energy at -0.40 eV/atom. As for the electronic total energy: -5.23 eV per atom.

***

# 4
Ca2Mg2Cu | PBE-GGA | relaxed

abc: 6.5993 3.5096 11.8787
angles: 90.00 91.33 90.00
Space group P2_1/m (No. 11)
Symmetry-distinct sites (fractional):
Ca 0.1292 0.2500 0.3672 x2
Ca 0.2491 0.2500 0.0773 x2
Mg 0.2665 0.7500 0.8277 x2
Mg 0.3753 0.7500 0.5813 x2
Cu 0.4519 0.7500 0.2639 x2

Results
The calculation puts the formation energy at 0.02 eV/atom. For the energy above the most stable polymorph in this dataset, the calculation gives 108 meV/atom. As for the electronic total energy: -2.23 eV per atom.